(1)
Material: La5Ag4
Method: DFT, PBE-GGA
State: relaxed

Lattice parameters (Å, degrees): 7.3282 7.3282 7.3282 97.33 97.33 138.16
With the nearest neighbours (Å) after each atom.
Fractional coordinates of all 9 atoms:
La: 0.0000 0.0000 0.0000  4 Ag 3.40, 8 La 3.50
La: 0.3303 0.3303 0.6606  6 Ag 3.20-3.56, 6 La 3.29-3.50
La: 0.3303 0.6697 0.0000  6 Ag 3.20-3.56, 6 La 3.29-3.50
La: 0.6697 0.3303 0.0000  6 Ag 3.20-3.56, 6 La 3.29-3.50
La: 0.6697 0.6697 0.3394  6 Ag 3.20-3.56, 6 La 3.29-3.50
Ag: 0.0000 0.3517 0.3517  1 Ag 2.87, 2 La 3.20
Ag: 0.0000 0.6483 0.6483  1 Ag 2.87, 2 La 3.20
Ag: 0.3517 0.0000 0.3517  1 Ag 2.87, 2 La 3.20
Ag: 0.6483 0.0000 0.6483  1 Ag 2.87, 2 La 3.20

Computed properties:
Volume: 27.25 Å³/atom
Calculated formation energy: -0.02 eV per atom
Total magnetization: 0.00 μB/f.u.

***

(2)
Material: Tm7Mg4Sc
Method: DFT, PBE-GGA
State: relaxed

Lattice parameters (Å, degrees): 7.9233 7.9233 9.5047 119.34 119.34 41.49
With the nearest neighbours (Å) after each atom.
Fractional coordinates of all 12 atoms:
Tm: 0.0000 0.0000 0.0000  2 Sc 2.81, 2 Mg 2.95
Tm: 0.2563 0.2563 0.7201  4 Mg 3.03-3.18, 1 Sc 3.17, 1 Tm 3.37
Tm: 0.2973 0.2973 0.1210  7 Tm 3.43-3.70, 4 Mg 3.48-3.80, 1 Sc 3.74
Tm: 0.4204 0.4204 0.5749  5 Mg 3.12-3.38, 2 Tm 3.33-3.37
Tm: 0.5796 0.5796 0.4251  5 Mg 3.12-3.38, 2 Tm 3.33-3.37
Tm: 0.7027 0.7027 0.8790  7 Tm 3.43-3.70, 4 Mg 3.48-3.80, 1 Sc 3.74
Tm: 0.7437 0.7437 0.2799  4 Mg 3.03-3.18, 1 Sc 3.17, 1 Tm 3.37
Mg: 0.0448 0.0448 0.6974  4 Tm 3.03-3.27, 2 Mg 3.04-3.26
Mg: 0.1741 0.1741 0.3495  5 Tm 2.95-3.18, 1 Mg 3.04
Mg: 0.8259 0.8259 0.6505  5 Tm 2.95-3.18, 1 Mg 3.04
Mg: 0.9552 0.9552 0.3026  4 Tm 3.03-3.27, 2 Mg 3.04-3.26
Sc: 0.5000 0.5000 0.0000  2 Tm 2.81

Computed properties:
Volume: 28.05 Å³/atom
Calculated formation energy: 0.19 eV per atom
Total magnetization: 0.53 μB/f.u.

***

(3)
Material: SrBeIr2
Method: DFT, PBE-GGA
State: relaxed

Lattice parameters (Å, degrees): 3.0189 4.3078 5.8608 90.00 104.64 90.00
With the nearest neighbours (Å) after each atom.
Fractional coordinates of all 4 atoms:
Sr: 0.0000 0.0000 0.0000  3 Ir 2.93-3.13, 2 Sr 3.02, 4 Be 3.17
Be: 0.6542 0.5000 0.3125  4 Ir 2.22-2.36
Ir: 0.2946 0.5000 0.5990  2 Be 2.22
Ir: 0.7371 0.0000 0.4841  2 Be 2.36

Computed properties:
Volume: 18.44 Å³/atom
Calculated formation energy: 0.05 eV per atom
Total magnetization: 0.00 μB/f.u.

***

(4)
Material: Sc2As
Method: DFT, PBE-GGA
State: relaxed

Lattice parameters (Å, degrees): 7.5172 7.5172 4.2631 90.00 90.00 150.38
With the nearest neighbours (Å) after each atom.
Fractional coordinates of all 6 atoms:
Sc: 0.0747 0.9253 0.7500  6 As 2.90-3.23, 4 Sc 3.04-3.17
Sc: 0.2522 0.7478 0.2500  6 Sc 2.87-3.17, 4 As 2.88-2.98
Sc: 0.7478 0.2522 0.7500  6 Sc 2.87-3.17, 4 As 2.88-2.98
Sc: 0.9253 0.0747 0.2500  6 As 2.90-3.23, 4 Sc 3.04-3.17
As: 0.3958 0.6042 0.7500  8 Sc 2.88-2.98
As: 0.6042 0.3958 0.2500  8 Sc 2.88-2.98

Computed properties:
Volume: 19.85 Å³/atom
Calculated formation energy: -0.79 eV per atom
Total magnetization: 0.58 μB/f.u.

***

(5)
Material: TbGaPt2
Method: DFT, PBE-GGA
State: relaxed

Lattice parameters (Å, degrees): 7.3459 7.1664 5.6583 90.00 90.00 90.00
With the nearest neighbours (Å) after each atom.
Fractional coordinates of all 16 atoms:
Tb: 0.0270 0.2500 0.1441  3 Ga 3.00-3.08, 8 Pt 3.03-3.16
Tb: 0.4730 0.7500 0.6441  3 Ga 3.00-3.08, 8 Pt 3.03-3.16
Tb: 0.5270 0.2500 0.3559  3 Ga 3.00-3.08, 8 Pt 3.03-3.16
Tb: 0.9730 0.7500 0.8559  3 Ga 3.00-3.08, 8 Pt 3.03-3.16
Ga: 0.1156 0.7500 0.3582  6 Pt 2.56-2.66
Ga: 0.3844 0.2500 0.8582  6 Pt 2.56-2.66
Ga: 0.6156 0.7500 0.1418  6 Pt 2.56-2.66
Ga: 0.8844 0.2500 0.6418  6 Pt 2.56-2.66
Pt: 0.1862 0.0511 0.5845  3 Ga 2.56-2.66, 1 Pt 2.85
Pt: 0.1862 0.4489 0.5845  3 Ga 2.56-2.66, 1 Pt 2.85
Pt: 0.3138 0.5511 0.0845  3 Ga 2.56-2.66, 1 Pt 2.85
Pt: 0.3138 0.9489 0.0845  3 Ga 2.56-2.66, 1 Pt 2.85
Pt: 0.6862 0.0511 0.9155  3 Ga 2.56-2.66, 1 Pt 2.85
Pt: 0.6862 0.4489 0.9155  3 Ga 2.56-2.66, 1 Pt 2.85
Pt: 0.8138 0.5511 0.4155  3 Ga 2.56-2.66, 1 Pt 2.85
Pt: 0.8138 0.9489 0.4155  3 Ga 2.56-2.66, 1 Pt 2.85

Computed properties:
Volume: 18.62 Å³/atom
Calculated formation energy: -1.06 eV per atom
Total magnetization: 0.00 μB/f.u.

***

(6)
Material: PrYErIn
Method: DFT, PBE-GGA
State: relaxed

Lattice parameters (Å, degrees): 5.5015 5.5015 5.5015 60.00 60.00 60.00
With the nearest neighbours (Å) after each atom.
Fractional coordinates of all 4 atoms:
Pr: 0.0000 0.0000 0.0000  4 Er 3.37, 4 Y 3.37
Y: 0.2500 0.2500 0.2500  4 In 3.37, 4 Pr 3.37
Er: 0.7500 0.7500 0.7500  4 In 3.37, 4 Pr 3.37
In: 0.5000 0.5000 0.5000  4 Er 3.37, 4 Y 3.37

Computed properties:
Volume: 29.43 Å³/atom
Calculated formation energy: -0.09 eV per atom
Total magnetization: 1.69 μB/f.u.

***

(7)
Material: Ta2CuIr
Method: DFT, PBE-GGA
State: relaxed

Lattice parameters (Å, degrees): 2.8394 2.8394 7.8253 90.00 90.00 90.00
With the nearest neighbours (Å) after each atom.
Fractional coordinates of all 4 atoms:
Ta: 0.0000 0.0000 0.2491  4 Ir 2.80, 4 Cu 2.81, 4 Ta 2.84
Ta: 0.0000 0.0000 0.7509  4 Ir 2.80, 4 Cu 2.81, 4 Ta 2.84
Cu: 0.5000 0.5000 0.5000  8 Ta 2.81, 4 Cu 2.84
Ir: 0.5000 0.5000 0.0000  8 Ta 2.80, 4 Ir 2.84

Computed properties:
Volume: 15.77 Å³/atom
Calculated formation energy: -0.20 eV per atom
Total magnetization: 0.00 μB/f.u.

***

(8)
Material: TaSbTe2Ir
Method: DFT, PBE-GGA
State: relaxed

Lattice parameters (Å, degrees): 5.1857 5.1857 5.0227 90.00 90.00 90.00
With the nearest neighbours (Å) after each atom.
Fractional coordinates of all 5 atoms:
Ta: 0.0000 0.0000 0.0000  8 Te 3.61, 4 Sb 3.67
Sb: 0.5000 0.5000 0.0000  2 Ir 2.51
Te: 0.0000 0.5000 0.5000  2 Ir 2.59
Te: 0.5000 0.0000 0.5000  2 Ir 2.59
Ir: 0.5000 0.5000 0.5000  2 Sb 2.51, 4 Te 2.59

Computed properties:
Volume: 27.01 Å³/atom
Total magnetization: 0.00 μB/f.u.
Uncorrected formation energy: 1.116 eV/atom

***

(9)
Material: TaBeRh
Method: DFT, PBE-GGA
State: relaxed

Lattice parameters (Å, degrees): 2.9587 2.9587 5.5501 90.00 90.00 120.00
With the nearest neighbours (Å) after each atom.
Fractional coordinates of all 3 atoms:
Ta: 0.0000 0.0000 0.0000  3 Be 2.56, 3 Rh 2.75
Be: 0.6667 0.3333 0.3438  3 Rh 2.27
Rh: 0.3333 0.6667 0.6122  3 Be 2.27

Computed properties:
Volume: 14.03 Å³/atom
Calculated formation energy: -0.08 eV per atom
Total magnetization: 0.00 μB/f.u.

***

(10)
Material: U2MnTc
Method: DFT, PBE-GGA
State: relaxed

Lattice parameters (Å, degrees): 8.8447 8.8447 8.8447 19.91 19.91 19.91
With the nearest neighbours (Å) after each atom.
Fractional coordinates of all 4 atoms:
U: 0.2466 0.2466 0.2466  3 Mn 2.73, 3 Tc 2.86
U: 0.7534 0.7534 0.7534  3 Mn 2.73, 3 Tc 2.86
Mn: 0.5000 0.5000 0.5000  6 U 2.73
Tc: 0.0000 0.0000 0.0000  6 U 2.86, 6 Tc 3.06

Computed properties:
Volume: 17.54 Å³/atom
Calculated formation energy: 0.38 eV per atom
Total magnetization: 1.15 μB/f.u.

***

(11)
Material: ScIn3F
Method: DFT, PBE-GGA
State: relaxed

Lattice parameters (Å, degrees): 5.7595 5.7595 5.7595 90.00 90.00 90.00
With the nearest neighbours (Å) after each atom.
Fractional coordinates of all 5 atoms:
Sc: 0.0000 0.0000 0.0000  6 In 2.88
In: 0.0000 0.0000 0.5000  2 Sc 2.88
In: 0.0000 0.5000 0.0000  2 Sc 2.88
In: 0.5000 0.0000 0.0000  2 Sc 2.88
F: 0.5000 0.5000 0.5000  12 In 4.07

Computed properties:
Volume: 38.21 Å³/atom
Total magnetization: 2.49 μB/f.u.
Uncorrected formation energy: 0.188 eV/atom

***

(12)
Material: Pm8NdY4
Method: DFT, PBE-GGA
State: relaxed

Lattice parameters (Å, degrees): 7.9141 7.9141 7.9141 90.73 90.73 90.73
With the nearest neighbours (Å) after each atom.
Fractional coordinates of all 13 atoms:
Pm: 0.2371 0.2371 0.7554  4 Y 3.30-3.48, 1 Nd 3.58
Pm: 0.2371 0.7554 0.2371  4 Y 3.30-3.48, 1 Nd 3.58
Pm: 0.2386 0.2386 0.2386  4 Y 3.23-3.50, 1 Nd 3.54
Pm: 0.2446 0.7629 0.7629  4 Y 3.30-3.48, 1 Nd 3.58
Pm: 0.7554 0.2371 0.2371  4 Y 3.30-3.48, 1 Nd 3.58
Pm: 0.7614 0.7614 0.7614  4 Y 3.23-3.50, 1 Nd 3.54
Pm: 0.7629 0.2446 0.7629  4 Y 3.30-3.48, 1 Nd 3.58
Pm: 0.7629 0.7629 0.2446  4 Y 3.30-3.48, 1 Nd 3.58
Nd: 0.5000 0.5000 0.5000  8 Pm 3.54-3.58, 6 Y 3.96
Y: 0.0000 0.0000 0.0000  8 Pm 3.23-3.30
Y: 0.0000 0.5000 0.5000  8 Pm 3.47-3.50
Y: 0.5000 0.0000 0.5000  8 Pm 3.47-3.50
Y: 0.5000 0.5000 0.0000  8 Pm 3.47-3.50

Computed properties:
Volume: 38.12 Å³/atom
Calculated formation energy: 0.50 eV per atom
Total magnetization: 0.00 μB/f.u.

***

Q: What is the formula in the third record?
A: SrBeIr2

***

Q: What is the formula in the seventh record?
A: Ta2CuIr